(1)
Computed, not measured: PmSm2Ho12 after structural relaxation at the GGA-PBE level of DFT.

Formation energy from the elements in kJ per mole of atoms: 10.4
Space-group type: P2/m

Unit cell a=6.640 b=6.640 c=24.673 alpha=96.73 beta=83.27 gamma=64.69
Fractional positions:
Ho  0.181  0.319  0.427
Ho  0.005  0.995  0.330
Ho  0.050  0.950  0.933
Ho  0.646  0.854  0.137
Ho  0.168  0.832  0.445
Ho  0.354  0.146  0.863
Ho  0.550  0.450  0.933
Ho  0.668  0.332  0.445
Ho  0.604  0.396  0.193
Sm  0.459  0.041  0.719
Ho  0.450  0.550  0.067
Ho  0.146  0.354  0.137
Sm  0.541  0.959  0.281
Ho  0.832  0.168  0.555
Ho  0.505  0.495  0.330
Ho  0.995  0.005  0.670
Sm  0.041  0.459  0.281
Ho  0.319  0.181  0.573
Ho  0.681  0.819  0.427
Ho  0.819  0.681  0.573
Pm  0.500  0.000  0.000
Ho  0.854  0.646  0.863
Sm  0.959  0.541  0.719
Ho  0.495  0.505  0.670
Pm  0.000  0.500  0.000
Ho  0.104  0.896  0.193
Ho  0.396  0.604  0.807
Ho  0.332  0.668  0.555
Ho  0.950  0.050  0.067
Ho  0.896  0.104  0.807



(2)
Computed, not measured: La3Tc2N7 after structural relaxation at the GGA-PBE level of DFT.

Formation energy (no corrections) in meV/atom: -591
Space-group type: Cmmm

Unit cell a=3.860 b=3.995 c=10.693 alpha=100.77 beta=90.00 gamma=90.00
Fractional positions:
N  0.000  0.405  0.811
N  0.000  0.195  0.389
La  0.500  0.321  0.641
Tc  0.000  0.903  0.806
N  0.000  0.805  0.611
N  0.000  0.000  0.000
N  0.500  0.901  0.802
Tc  0.000  0.097  0.194
La  0.500  0.500  0.000
N  0.500  0.099  0.198
N  0.000  0.595  0.189
La  0.500  0.679  0.359



(3)
Computed, not measured: Ba2YTlS5 after structural relaxation at the GGA-PBE level of DFT.

Formation energy (no corrections) in meV/atom: -1582
Space-group type: Cmc2_1

Unit cell a=4.171 b=9.416 c=13.036 alpha=90.00 beta=90.00 gamma=102.80
Fractional positions:
Ba  0.882  0.764  0.184
Tl  0.455  0.910  0.446
Y  0.212  0.424  0.018
Ba  0.136  0.272  0.313
S  0.687  0.373  0.875
S  0.710  0.420  0.155
S  0.506  0.012  0.270
Tl  0.545  0.090  0.946
Ba  0.118  0.236  0.684
S  0.290  0.580  0.655
S  0.946  0.892  0.561
S  0.313  0.627  0.375
S  0.644  0.289  0.503
Y  0.788  0.576  0.518
S  0.054  0.108  0.061
Ba  0.864  0.728  0.813
S  0.494  0.988  0.770
S  0.356  0.711  0.003



(4)
Computed, not measured: Tm2PuSn after structural relaxation at the GGA-PBE level of DFT.

Formation energy from the elements in kJ per mole of atoms: -29.4
Space-group type: P4/mmm
Excess energy over the best structure of this formula in the dataset in eV per atom: 0.000

Unit cell a=4.590 b=4.824 c=4.824 alpha=90.00 beta=90.00 gamma=90.00
Fractional positions:
Tm  0.000  0.000  0.500
Sn  0.500  0.000  0.000
Pu  0.500  0.500  0.500
Tm  0.000  0.500  0.000



(5)
Computed, not measured: Rb3HoTm3Se8 after structural relaxation at the GGA-PBE level of DFT.

Formation energy (no corrections) in meV/atom: -1662
Space-group type: R-3m

Unit cell a=8.235 b=8.239 c=9.474 alpha=115.81 beta=90.00 gamma=119.99
Fractional positions:
Tm  0.500  0.500  0.500
Se  0.768  0.040  0.308
Se  0.728  0.960  0.692
Tm  0.000  0.500  0.500
Ho  0.000  0.000  0.500
Se  0.731  0.462  0.693
Se  0.768  0.535  0.308
Se  0.232  0.960  0.692
Se  0.232  0.465  0.692
Rb  0.500  0.500  0.000
Rb  0.000  0.500  0.000
Rb  0.000  0.000  0.000
Tm  0.500  0.000  0.500
Se  0.272  0.040  0.308
Se  0.269  0.538  0.307



(6)
Computed, not measured: Cs4Au after structural relaxation at the GGA-PBE level of DFT.

Formation energy from the elements in kJ per mole of atoms: -12.0
Space-group type: Pm-3m
Excess energy over the best structure of this formula in the dataset in eV per atom: 0.019

Unit cell a=7.443 b=7.443 c=7.443 alpha=90.00 beta=90.00 gamma=90.00
Fractional positions:
Au  0.500  0.500  0.500
Cs  0.500  0.500  0.000
Cs  0.000  0.500  0.500
Cs  0.500  0.000  0.500
Cs  0.000  0.000  0.000



(7)
Computed, not measured: BeGaCu2S4 after structural relaxation at the GGA-PBE level of DFT.

Formation energy (no corrections) in meV/atom: -588
Space-group type: I-42m

Unit cell a=5.104 b=5.104 c=6.480 alpha=113.20 beta=113.20 gamma=90.00
Fractional positions:
S  0.886  0.354  0.240
Cu  0.250  0.750  0.500
S  0.354  0.886  0.240
S  0.646  0.646  0.760
S  0.114  0.114  0.760
Ga  0.500  0.500  0.000
Be  0.000  0.000  0.000
Cu  0.750  0.250  0.500



(8)
Computed, not measured: ScTlCo2 after structural relaxation at the GGA-PBE level of DFT.

Formation energy from the elements in kJ per mole of atoms: 6.1
Space-group type: P4mm

Unit cell a=3.112 b=3.112 c=6.945 alpha=90.00 beta=90.00 gamma=90.00
Fractional positions:
Tl  0.500  0.500  0.790
Co  0.500  0.500  0.208
Sc  0.000  0.000  0.444
Co  0.000  0.000  0.058



(9)
Computed, not measured: YAuSe2 after structural relaxation at the GGA-PBE level of DFT.

Formation energy (no corrections) in meV/atom: -1140
Space-group type: P3_221

Unit cell a=4.298 b=4.298 c=23.377 alpha=90.00 beta=90.00 gamma=60.00
Fractional positions:
Se  0.338  0.996  0.771
Se  0.333  0.004  0.563
Y  0.329  0.000  0.167
Se  0.996  0.667  0.104
Au  0.335  0.000  0.667
Y  0.671  0.329  0.833
Au  0.665  0.335  0.333
Se  0.004  0.662  0.896
Se  0.667  0.337  0.437
Y  0.000  0.671  0.500
Au  0.000  0.665  0.000
Se  0.662  0.333  0.229



(10)
Computed, not measured: MnTlIn2Cl8 after structural relaxation at the GGA-PBE level of DFT.

Formation energy (no corrections) in meV/atom: -939
Space-group type: R-3

Unit cell a=6.646 b=6.646 c=10.050 alpha=70.69 beta=70.69 gamma=60.00
Fractional positions:
Cl  0.827  0.827  0.519
Cl  0.915  0.654  0.157
In  0.261  0.261  0.218
Cl  0.173  0.173  0.481
Tl  0.500  0.500  0.500
In  0.739  0.739  0.782
Cl  0.274  0.915  0.157
Cl  0.346  0.726  0.843
Mn  0.000  0.000  0.000
Cl  0.654  0.274  0.157
Cl  0.726  0.085  0.843
Cl  0.085  0.346  0.843



(11)
Computed, not measured: NaCa3Rh after structural relaxation at the GGA-PBE level of DFT.

Formation energy from the elements in kJ per mole of atoms: -2.9
Space-group type: Cmcm
Excess energy over the best structure of this formula in the dataset in eV per atom: 0.173

Unit cell a=7.321 b=7.321 c=6.476 alpha=90.00 beta=90.00 gamma=106.77
Fractional positions:
Ca  0.476  0.908  0.750
Rh  0.800  0.200  0.750
Ca  0.524  0.092  0.250
Ca  0.908  0.476  0.250
Rh  0.200  0.800  0.250
Ca  0.092  0.524  0.750
Ca  0.000  0.000  0.000
Ca  0.000  0.000  0.500
Na  0.438  0.562  0.250
Na  0.562  0.438  0.750



(12)
Computed, not measured: TaAgHg after structural relaxation at the GGA-PBE level of DFT.

Formation energy from the elements in kJ per mole of atoms: 29.7
Space-group type: I4mm
Excess energy over the best structure of this formula in the dataset in eV per atom: 0.000

Unit cell a=6.709 b=6.708 c=2.973 alpha=77.20 beta=77.19 gamma=25.60
Fractional positions:
Ta  0.664  0.664  0.336
Hg  0.332  0.332  0.668
Ag  0.004  0.004  0.996



(13)
Computed, not measured: HoGe2Pd8 after structural relaxation at the GGA-PBE level of DFT.

Formation energy from the elements in kJ per mole of atoms: -52.8
Space-group type: C2/m

Unit cell a=4.541 b=6.785 c=6.785 alpha=112.19 beta=99.26 gamma=99.26
Fractional positions:
Pd  0.093  0.068  0.322
Pd  0.317  0.611  0.611
Ge  0.000  0.680  0.320
Pd  0.907  0.678  0.932
Pd  0.093  0.322  0.068
Pd  0.683  0.389  0.389
Pd  0.500  0.755  0.245
Ge  0.000  0.320  0.680
Ho  0.500  0.000  0.000
Pd  0.907  0.932  0.678
Pd  0.500  0.245  0.755



(14)
Computed, not measured: CrAg2Mo after structural relaxation at the GGA-PBE level of DFT.

Formation energy from the elements in kJ per mole of atoms: 117.1
Space-group type: I-42d
Excess energy over the best structure of this formula in the dataset in eV per atom: 0.875

Unit cell a=7.359 b=7.359 c=5.785 alpha=50.50 beta=50.50 gamma=90.00
Fractional positions:
Mo  0.750  0.250  0.500
Ag  0.375  0.398  0.750
Mo  0.000  0.000  0.000
Ag  0.148  0.625  0.250
Ag  0.875  0.852  0.750
Cr  0.500  0.500  0.000
Ag  0.602  0.125  0.250
Cr  0.250  0.750  0.500



(15)
Computed, not measured: AcAl9Ni2 after structural relaxation at the GGA-PBE level of DFT.

Formation energy from the elements in kJ per mole of atoms: -36.8
Space-group type: P6/mmm
Excess energy over the best structure of this formula in the dataset in eV per atom: 0.000

Unit cell a=3.918 b=7.939 c=7.939 alpha=120.00 beta=90.00 gamma=90.00
Fractional positions:
Ni  0.000  0.667  0.333
Ac  0.000  0.000  0.000
Al  0.000  0.000  0.500
Al  0.500  0.212  0.424
Al  0.500  0.212  0.788
Al  0.000  0.500  0.500
Al  0.500  0.576  0.788
Ni  0.000  0.333  0.667
Al  0.500  0.788  0.576
Al  0.500  0.424  0.212
Al  0.500  0.788  0.212
Al  0.000  0.500  0.000



(16)
Computed, not measured: SrHfN2O after structural relaxation at the GGA-PBE level of DFT.

Formation energy (no corrections) in meV/atom: -1339
Space-group type: P4/mmm

Unit cell a=4.233 b=4.233 c=4.183 alpha=90.00 beta=90.00 gamma=90.00
Fractional positions:
Hf  0.000  0.000  0.000
O  0.000  0.000  0.500
N  0.500  0.000  0.000
N  0.000  0.500  0.000
Sr  0.500  0.500  0.500



(17)
Computed, not measured: EuHgRhPb after structural relaxation at the GGA-PBE level of DFT.

Formation energy from the elements in kJ per mole of atoms: -18.7
Space-group type: F-43m

Unit cell a=5.120 b=5.120 c=5.120 alpha=60.00 beta=60.00 gamma=60.00
Fractional positions:
Eu  0.500  0.500  0.500
Rh  0.250  0.250  0.250
Hg  0.750  0.750  0.750
Pb  0.000  0.000  0.000



(18)
Computed, not measured: SrCaLaPr after structural relaxation at the GGA-PBE level of DFT.

Formation energy from the elements in kJ per mole of atoms: 4.4
Space-group type: P4mm
Excess energy over the best structure of this formula in the dataset in eV per atom: 0.000

Unit cell a=3.871 b=3.871 c=11.157 alpha=90.00 beta=90.00 gamma=90.00
Fractional positions:
Sr  0.000  0.000  0.080
Ca  0.500  0.500  0.805
Pr  0.500  0.500  0.343
La  0.000  0.000  0.557



(19)
Computed, not measured: Th7Bi2Au2 after structural relaxation at the GGA-PBE level of DFT.

Formation energy from the elements in kJ per mole of atoms: -4.9
Space-group type: Cmmm

Unit cell a=7.301 b=6.978 c=7.301 alpha=89.98 beta=100.46 gamma=90.02
Fractional positions:
Bi  0.822  0.500  0.822
Bi  0.178  0.500  0.178
Au  0.265  0.000  0.735
Au  0.735  0.000  0.265
Th  0.500  0.743  0.500
Th  0.000  0.731  0.500
Th  0.000  0.269  0.500
Th  0.500  0.731  0.000
Th  0.500  0.269  0.000
Th  0.500  0.257  0.500
Th  0.000  0.000  0.000



(20)
Computed, not measured: Sm2Dy15Er2 after structural relaxation at the GGA-PBE level of DFT.

Formation energy from the elements in kJ per mole of atoms: 27.1
Space-group type: R-3m

Unit cell a=8.706 b=8.706 c=8.706 alpha=79.72 beta=79.72 gamma=79.72
Fractional positions:
Dy  0.297  0.703  0.000
Dy  0.000  0.000  0.500
Er  0.904  0.904  0.904
Dy  0.500  0.000  0.000
Dy  0.149  0.630  0.630
Dy  0.703  0.297  0.000
Dy  0.703  0.000  0.297
Dy  0.370  0.851  0.370
Dy  0.851  0.370  0.370
Sm  0.676  0.676  0.676
Dy  0.297  0.000  0.703
Er  0.096  0.096  0.096
Dy  0.000  0.500  0.000
Dy  0.370  0.370  0.851
Sm  0.324  0.324  0.324
Dy  0.000  0.703  0.297
Dy  0.630  0.630  0.149
Dy  0.630  0.149  0.630
Dy  0.000  0.297  0.703



(21)
Computed, not measured: Sm4Cu after structural relaxation at the GGA-PBE level of DFT.

Formation energy from the elements in kJ per mole of atoms: 13.5
Space-group type: Pm-3m

Unit cell a=5.494 b=5.494 c=5.494 alpha=90.00 beta=90.00 gamma=90.00
Fractional positions:
Sm  0.000  0.500  0.500
Cu  0.500  0.500  0.500
Sm  0.500  0.000  0.500
Sm  0.500  0.500  0.000
Sm  0.000  0.000  0.000



(22)
Computed, not measured: Zr2TcPtN after structural relaxation at the GGA-PBE level of DFT.

Formation energy (no corrections) in meV/atom: -897
Space-group type: P4/mmm

Unit cell a=4.479 b=4.479 c=3.976 alpha=90.00 beta=90.00 gamma=90.00
Fractional positions:
N  0.000  0.000  0.000
Tc  0.000  0.000  0.500
Pt  0.500  0.500  0.500
Zr  0.000  0.500  0.000
Zr  0.500  0.000  0.000



(23)
Computed, not measured: TaIn2Br after structural relaxation at the GGA-PBE level of DFT.

Formation energy (no corrections) in meV/atom: 218
Space-group type: Pm
Excess energy over the best structure of this formula in the dataset in eV per atom: 0.097

Unit cell a=4.862 b=3.266 c=5.894 alpha=73.75 beta=90.00 gamma=90.00
Fractional positions:
Br  0.500  0.552  0.768
Ta  0.000  0.702  0.471
In  0.500  0.285  0.309
In  0.000  0.961  0.951